[1]
4
Lattice="4.065 -0.036 0.000 -1.403 3.815 0.000 0.000 0.000 7.395" Properties=species:S:1:pos:R:3 comment="BaAgSe2 (PBE, relaxed)" crystal_system=orthorhombic pbc="T T T"
Ag 1.331 1.889 1.849
Ba 1.331 1.889 5.547
Se 0.000 0.000 0.250
Se 0.000 0.000 3.448



[2]
4
Lattice="-0.842 -2.500 3.448 -2.360 -2.657 -2.493 4.997 -3.323 -1.189" Properties=species:S:1:pos:R:3 comment="BaAg2Se (PBE, relaxed)" crystal_system=orthorhombic pbc="T T T"
Ag 4.955 -3.296 -1.179
Ag 2.540 -1.689 -0.604
Ba -0.352 -3.409 0.180
Se 2.146 -5.071 -0.415



[3]
15
Lattice="6.749 0.000 3.367 2.535 6.255 3.367 -0.377 -0.254 9.203" Properties=species:S:1:pos:R:3 comment="BaAg8Se6 (PBE, relaxed)" crystal_system=trigonal pbc="T T T"
Ba 0.000 0.000 0.000
Ag 6.688 2.133 9.526
Ag 5.719 0.604 7.060
Ag 6.230 5.074 8.816
Ag 3.712 2.501 9.455
Ag 5.195 3.500 6.482
Ag 2.678 0.928 7.121
Ag 3.188 5.397 8.877
Ag 2.220 3.868 6.411
Se 7.683 3.419 7.360
Se 4.931 0.165 9.613
Se 4.613 4.508 10.914
Se 4.295 1.493 5.023
Se 3.977 5.837 6.324
Se 1.224 2.582 8.577



no.,volume (Å³/cell),formation energy (no corrections) (eV per atom)
1,114.3,-0.68
2,115.3,-0.28
3,400.1,-0.27